(1)
Compound: PaHgN2
Source: the Alexandria database
Functional: GGA-PBE
Structure: optimized geometry

D(E_F) = 8.314 states/eV per cell
Size of the total moment = 0.00 μB per formula unit
Raw formation energy = -655 meV/atom
E = -7.267 eV/atom
Distance to the lowest polymorph of the same formula = 0.00 kcal/mol of atoms

Structure (CIF):
```
data_PaHgN2
_chemical_formula_sum 'Pa3 Hg3 N6'
_symmetry_space_group_name_H-M 'R -3 m'
_symmetry_Int_Tables_number 166
_symmetry_space_group_name_Hall '-R 3 2"'
_cell_length_a 3.6389
_cell_length_b 3.6389
_cell_length_c 18.1970
_cell_angle_alpha 90.00
_cell_angle_beta 90.00
_cell_angle_gamma 120.00
loop_
_atom_site_label
_atom_site_type_symbol
_atom_site_fract_x
_atom_site_fract_y
_atom_site_fract_z
_atom_site_occupancy
Pa1 Pa 0.0000 0.0000 0.0000 1
Hg1 Hg 0.0000 0.0000 0.5000 1
N1 N 0.0000 0.0000 0.2828 1
```


(2)
Compound: PaHgN
Source: the Alexandria database
Functional: GGA-PBE
Structure: optimized geometry

D(E_F) = 2.183 states/eV per cell
Size of the total moment = 0.00 μB per formula unit
Raw formation energy = -417 meV/atom
E = -6.458 eV/atom
Distance to the lowest polymorph of the same formula = 15.23 kcal/mol of atoms

Structure (CIF):
```
data_PaHgN
_chemical_formula_sum 'Pa4 Hg4 N4'
_symmetry_space_group_name_H-M 'C m c m'
_symmetry_Int_Tables_number 63
_symmetry_space_group_name_Hall '-C 2c 2'
_cell_length_a 3.6443
_cell_length_b 22.1861
_cell_length_c 4.0967
_cell_angle_alpha 90.00
_cell_angle_beta 90.00
_cell_angle_gamma 90.00
loop_
_atom_site_label
_atom_site_type_symbol
_atom_site_fract_x
_atom_site_fract_y
_atom_site_fract_z
_atom_site_occupancy
Pa1 Pa 0.0000 0.1302 0.2500 1
Hg1 Hg 0.0000 0.2873 0.2500 1
N1 N 0.0000 0.4114 0.7500 1
```


(3)
Compound: PaHgN
Source: the Alexandria database
Functional: GGA-PBE
Structure: optimized geometry

D(E_F) = 6.779 states/eV per cell
Size of the total moment = 0.44 μB per formula unit
Raw formation energy = -627 meV/atom
E = -6.668 eV/atom
Distance to the lowest polymorph of the same formula = 10.39 kcal/mol of atoms

Structure (CIF):
```
data_PaHgN
_chemical_formula_sum 'Pa2 Hg2 N2'
_symmetry_space_group_name_H-M 'I 4 m m'
_symmetry_Int_Tables_number 107
_symmetry_space_group_name_Hall 'I 4 -2'
_cell_length_a 3.2192
_cell_length_b 3.2192
_cell_length_c 12.2648
_cell_angle_alpha 90.00
_cell_angle_beta 90.00
_cell_angle_gamma 90.00
loop_
_atom_site_label
_atom_site_type_symbol
_atom_site_fract_x
_atom_site_fract_y
_atom_site_fract_z
_atom_site_occupancy
Pa1 Pa 0.0000 0.0000 0.0000 1
Hg1 Hg 0.0000 0.0000 0.2752 1
N1 N 0.0000 0.0000 0.5390 1
```


(4)
Compound: Sr4Pa3HgN8
Source: the Alexandria database
Functional: GGA-PBE
Structure: optimized geometry

D(E_F) = 15.411 states/eV per cell
Size of the total moment = 0.00 μB per formula unit
Raw formation energy = -1046 meV/atom
E = -7.429 eV/atom

Structure (CIF):
```
data_Sr4Pa3HgN8
_chemical_formula_sum 'Sr12 Pa9 Hg3 N24'
_symmetry_space_group_name_H-M 'R -3 m'
_symmetry_Int_Tables_number 166
_symmetry_space_group_name_Hall '-R 3 2"'
_cell_length_a 7.2418
_cell_length_b 7.2418
_cell_length_c 17.9927
_cell_angle_alpha 90.00
_cell_angle_beta 90.00
_cell_angle_gamma 120.00
loop_
_atom_site_label
_atom_site_type_symbol
_atom_site_fract_x
_atom_site_fract_y
_atom_site_fract_z
_atom_site_occupancy
Sr1 Sr 0.0000 0.0000 0.0000 1
Sr2 Sr 0.0000 0.5000 0.0000 1
Pa1 Pa 0.0000 0.5000 0.5000 1
Hg1 Hg 0.0000 0.0000 0.5000 1
N1 N 0.0000 0.0000 0.2338 1
N2 N 0.0398 0.5199 0.7649 1
```


(5)
Compound: PaHgTeN
Source: the Alexandria database
Functional: GGA-PBE
Structure: optimized geometry

D(E_F) = 2.441 states/eV per cell
Size of the total moment = 0.00 μB per formula unit
Raw formation energy = -1131 meV/atom
E = -6.447 eV/atom

Structure (CIF):
```
data_PaHgTeN
_chemical_formula_sum 'Pa2 Hg2 Te2 N2'
_symmetry_space_group_name_H-M 'P 4/n m m'
_symmetry_Int_Tables_number 129
_cell_length_a 3.9864
_cell_length_b 3.9864
_cell_length_c 12.5475
_cell_angle_alpha 90.00
_cell_angle_beta 90.00
_cell_angle_gamma 90.00
loop_
_symmetry_equiv_pos_as_xyz
'x,y,z'
'-x,-y,-z'
'-y+1/2,x,z'
'y+1/2,-x,-z'
'-x+1/2,-y+1/2,z'
'x+1/2,y+1/2,-z'
'y,-x+1/2,z'
'-y,x+1/2,-z'
'x+1/2,-y,-z'
'-x+1/2,y,z'
'-y,-x,-z'
'y,x,z'
'-x,y+1/2,-z'
'x,-y+1/2,z'
'y+1/2,x+1/2,-z'
'-y+1/2,-x+1/2,z'
loop_
_atom_site_label
_atom_site_type_symbol
_atom_site_fract_x
_atom_site_fract_y
_atom_site_fract_z
_atom_site_occupancy
Pa1 Pa 0.2500 0.2500 0.0924 1
Hg1 Hg 0.2500 0.7500 0.5000 1
Te1 Te 0.2500 0.2500 0.7709 1
N1 N 0.2500 0.7500 0.0000 1
```


(6)
Compound: Th3Pa4HgN12
Source: the Alexandria database
Functional: GGA-PBE
Structure: optimized geometry

D(E_F) = 51.841 states/eV per cell
Size of the total moment = 0.01 μB per formula unit
Raw formation energy = -1144 meV/atom
E = -9.166 eV/atom

Structure (CIF):
```
data_Th3Pa4HgN12
_chemical_formula_sum 'Th6 Pa8 Hg2 N24'
_symmetry_space_group_name_H-M 'I m -3'
_symmetry_Int_Tables_number 204
_symmetry_space_group_name_Hall '-I 2 2 3'
_cell_length_a 8.6301
_cell_length_b 8.6301
_cell_length_c 8.6301
_cell_angle_alpha 90.00
_cell_angle_beta 90.00
_cell_angle_gamma 90.00
loop_
_atom_site_label
_atom_site_type_symbol
_atom_site_fract_x
_atom_site_fract_y
_atom_site_fract_z
_atom_site_occupancy
Th1 Th 0.0000 0.0000 0.5000 1
Pa1 Pa 0.2500 0.2500 0.2500 1
Hg1 Hg 0.0000 0.0000 0.0000 1
N1 N 0.0000 0.2103 0.3172 1
```